First-principles (PBEsol) data for V6O11F after structural relaxation, as listed in Alexandria via LeMat-Bulk.

a = 5.364 Å, b = 5.364 Å, c = 6.973 Å
α = 108.99°, β = 108.99°, γ = 74.52°
Positions (direct):
1 V 0.000 0.000 0.000
2 V 0.275 0.358 0.817
3 V 0.300 0.373 0.334
4 V 0.627 0.700 0.666
5 V 0.642 0.725 0.183
6 V 0.971 0.029 0.500
7 O 0.002 0.661 0.333
8 O 0.067 0.126 0.296
9 O 0.201 0.261 0.031
10 O 0.281 0.719 0.000
11 O 0.339 0.998 0.667
12 O 0.400 0.466 0.637
13 O 0.534 0.600 0.363
14 O 0.598 0.070 0.335
15 O 0.739 0.799 0.969
16 O 0.874 0.933 0.704
17 O 0.930 0.402 0.665
18 F 0.668 0.332 0.000

Output
Uncorrected formation energy, eV/atom: -2.445
Theoretical density, g cm⁻³: 4.71

=====

First-principles (PBEsol) data for Y2MnS4 after structural relaxation, as listed in Alexandria via LeMat-Bulk.

a = 6.351 Å, b = 6.351 Å, c = 12.661 Å
α = 90.00°, β = 90.00°, γ = 145.74°
Positions (direct):
1 Y 0.118 0.882 0.500
2 Y 0.362 0.638 0.297
3 Y 0.638 0.362 0.797
4 Y 0.882 0.118 0.000
5 Mn 0.373 0.627 0.662
6 Mn 0.627 0.373 0.162
7 S 0.010 0.990 0.709
8 S 0.258 0.742 0.110
9 S 0.293 0.707 0.850
10 S 0.459 0.541 0.486
11 S 0.541 0.459 0.986
12 S 0.707 0.293 0.350
13 S 0.742 0.258 0.610
14 S 0.990 0.010 0.209

Output
Uncorrected formation energy, eV/atom: -1.629
Theoretical density, g cm⁻³: 4.17

=====

First-principles (PBEsol) data for LiBe2Ag after structural relaxation, as listed in Alexandria via LeMat-Bulk.

a = 2.909 Å, b = 2.909 Å, c = 5.466 Å
α = 90.00°, β = 90.00°, γ = 90.00°
Positions (direct):
1 Li 0.000 0.000 0.000
2 Be 0.500 0.500 0.246
3 Be 0.500 0.500 0.754
4 Ag 0.000 0.000 0.500

Output
Energy of formation, eV per atom: 0.17
Theoretical density, g cm⁻³: 4.77

=====

First-principles (PBEsol) data for Mg3Cu2As3O12 after structural relaxation, as listed in Alexandria via LeMat-Bulk.

a = 8.778 Å, b = 8.778 Å, c = 6.748 Å
α = 105.18°, β = 105.18°, γ = 94.53°
Positions (direct):
1 Mg 0.131 0.444 0.881
2 Mg 0.241 0.759 0.750
3 Mg 0.444 0.131 0.381
4 Mg 0.556 0.869 0.619
5 Mg 0.759 0.241 0.250
6 Mg 0.869 0.556 0.119
7 Cu 0.003 0.997 0.250
8 Cu 0.500 0.500 0.000
9 Cu 0.500 0.500 0.500
10 Cu 0.997 0.003 0.750
11 As 0.149 0.387 0.377
12 As 0.213 0.787 0.250
13 As 0.387 0.149 0.877
14 As 0.613 0.851 0.123
15 As 0.787 0.213 0.750
16 As 0.851 0.613 0.623
17 O 0.005 0.223 0.314
18 O 0.010 0.774 0.233
19 O 0.096 0.478 0.181
20 O 0.164 0.512 0.623
21 O 0.223 0.005 0.814
22 O 0.226 0.990 0.267
23 O 0.247 0.681 0.020
24 O 0.319 0.753 0.480
25 O 0.330 0.334 0.888
26 O 0.334 0.330 0.388
27 O 0.478 0.096 0.681
28 O 0.488 0.836 0.877
29 O 0.512 0.164 0.123
30 O 0.522 0.904 0.319
31 O 0.666 0.670 0.612
32 O 0.670 0.666 0.112
33 O 0.681 0.247 0.520
34 O 0.753 0.319 0.980
35 O 0.774 0.010 0.733
36 O 0.777 0.995 0.186
37 O 0.836 0.488 0.377
38 O 0.904 0.522 0.819
39 O 0.990 0.226 0.767
40 O 0.995 0.777 0.686

Output
Uncorrected formation energy, eV/atom: -1.630
Theoretical density, g cm⁻³: 4.28

=====

First-principles (PBEsol) data for Cr2CoAu after structural relaxation, as listed in Alexandria via LeMat-Bulk.

a = 2.574 Å, b = 2.574 Å, c = 8.101 Å
α = 90.00°, β = 90.00°, γ = 109.57°
Positions (direct):
1 Cr 0.000 0.000 0.000
2 Cr 0.500 0.500 0.219
3 Co 0.500 0.500 0.774
4 Au 0.000 0.000 0.500

Output
Energy of formation, eV per atom: 0.31
Theoretical density, g cm⁻³: 11.82

=====

First-principles (PBEsol) data for NaTi8Cu6BiO24 after structural relaxation, as listed in Alexandria via LeMat-Bulk.

a = 7.379 Å, b = 7.379 Å, c = 7.379 Å
α = 90.00°, β = 90.00°, γ = 90.00°
Positions (direct):
1 Na 0.000 0.000 0.000
2 Ti 0.246 0.246 0.246
3 Ti 0.246 0.246 0.754
4 Ti 0.246 0.754 0.246
5 Ti 0.246 0.754 0.754
6 Ti 0.754 0.246 0.246
7 Ti 0.754 0.246 0.754
8 Ti 0.754 0.754 0.246
9 Ti 0.754 0.754 0.754
10 Cu 0.000 0.000 0.500
11 Cu 0.000 0.500 0.000
12 Cu 0.000 0.500 0.500
13 Cu 0.500 0.000 0.000
14 Cu 0.500 0.000 0.500
15 Cu 0.500 0.500 0.000
16 Bi 0.500 0.500 0.500
17 O 0.000 0.307 0.178
18 O 0.000 0.307 0.822
19 O 0.000 0.693 0.178
20 O 0.000 0.693 0.822
21 O 0.178 0.000 0.307
22 O 0.178 0.000 0.693
23 O 0.197 0.323 0.500
24 O 0.197 0.677 0.500
25 O 0.307 0.178 0.000
26 O 0.307 0.822 0.000
27 O 0.323 0.500 0.197
28 O 0.323 0.500 0.803
29 O 0.500 0.197 0.323
30 O 0.500 0.197 0.677
31 O 0.500 0.803 0.323
32 O 0.500 0.803 0.677
33 O 0.677 0.500 0.197
34 O 0.677 0.500 0.803
35 O 0.693 0.178 0.000
36 O 0.693 0.822 0.000
37 O 0.803 0.323 0.500
38 O 0.803 0.677 0.500
39 O 0.822 0.000 0.307
40 O 0.822 0.000 0.693

Output
Uncorrected formation energy, eV/atom: -2.134
Theoretical density, g cm⁻³: 5.70

=====

First-principles (PBEsol) data for MgMnSe2 after structural relaxation, as listed in Alexandria via LeMat-Bulk.

a = 3.802 Å, b = 3.802 Å, c = 5.393 Å
α = 90.00°, β = 90.00°, γ = 90.00°
Positions (direct):
1 Mg 0.000 0.000 0.000
2 Mn 0.500 0.500 0.500
3 Se 0.000 0.000 0.500
4 Se 0.500 0.500 0.000

Output
Uncorrected formation energy, eV/atom: -0.722
Theoretical density, g cm⁻³: 5.05

=====

First-principles (PBEsol) data for Ho2CuSi4O12 after structural relaxation, as listed in Alexandria via LeMat-Bulk.

a = 4.749 Å, b = 7.031 Å, c = 7.765 Å
α = 65.31°, β = 86.28°, γ = 76.73°
Positions (direct):
1 Ho 0.038 0.272 0.449
2 Ho 0.962 0.728 0.551
3 Cu 0.000 0.500 0.000
4 Si 0.423 0.891 0.796
5 Si 0.452 0.679 0.217
6 Si 0.548 0.321 0.783
7 Si 0.577 0.109 0.204
8 O 0.210 0.923 0.626
9 O 0.228 0.571 0.375
10 O 0.258 0.489 0.796
11 O 0.267 0.270 0.194
12 O 0.285 0.813 0.007
13 O 0.448 0.146 0.721
14 O 0.552 0.854 0.279
15 O 0.715 0.187 0.993
16 O 0.733 0.730 0.806
17 O 0.742 0.511 0.204
18 O 0.772 0.429 0.625
19 O 0.790 0.077 0.374

Output
Uncorrected formation energy, eV/atom: -2.829
Theoretical density, g cm⁻³: 5.06